Run one
The following is a DFT calculation (GGA-PBE) of a relaxed structure of NbCoAsIr.

a b c (Å): 4.417 4.417 4.417
angles (deg): 60.00 60.00 60.00
Element x y z (fractional)
As1 0.000 0.000 0.000
Co1 0.750 0.750 0.750
Ir1 0.250 0.250 0.250
Nb1 0.500 0.500 0.500

## Properties
- Space group: F-43m
- Volume: 60.9 Å³ per cell

***

Run two
The following is a DFT calculation (GGA-PBE) of a relaxed structure of NbCoAsIr.

a b c (Å): 4.389 4.389 4.389
angles (deg): 60.00 60.00 60.00
Element x y z (fractional)
As1 0.000 0.000 0.000
Co1 0.750 0.750 0.750
Ir1 0.500 0.500 0.500
Nb1 0.250 0.250 0.250

## Properties
- Space group: F-43m
- Volume: 59.8 Å³ per cell

***

Structures ranked by computed energy, the most stable listed first: run two, run one.

***

Run one
The following is a DFT calculation (GGA-PBE) of a relaxed structure of CoNiAsIr.

a b c (Å): 4.165 4.165 4.165
angles (deg): 60.00 60.00 60.00
Element x y z (fractional)
As1 0.000 0.000 0.000
Co1 0.750 0.750 0.750
Ir1 0.250 0.250 0.250
Ni1 0.500 0.500 0.500

## Properties
- Space group: F-43m
- Volume: 51.1 Å³ per cell

***

Run two
The following is a DFT calculation (GGA-PBE) of a relaxed structure of CoNiAsIr.

a b c (Å): 4.197 4.197 4.197
angles (deg): 60.00 60.00 60.00
Element x y z (fractional)
As1 0.000 0.000 0.000
Co1 0.750 0.750 0.750
Ir1 0.500 0.500 0.500
Ni1 0.250 0.250 0.250

## Properties
- Space group: F-43m
- Volume: 52.3 Å³ per cell

***

Structures ranked by computed energy, the most stable listed first: run one, run two.